Version A
## HgAs2Se (PBE)

Data for a geometry-optimized HgAs2Se structure.

Cell: 3.1672 3.1672 9.7797 Å, 90.00 90.00 115.85°
Last column: nearest neighbours and their distance in Å.
Atoms (fractional coordinates):
As (0.0000, 0.0000, 0.9646)  2 Se 2.69
As (0.0000, 0.0000, 0.5354)  2 Se 2.69
Hg (0.5000, 0.5000, 0.2500)  6 Hg 3.17-3.36, 4 As 3.26
Se (0.5000, 0.5000, 0.7500)  4 As 2.69

Output
symmetry: Cmmm, No. 65



Version B
## HgAs2Se (PBE)

Data for a geometry-optimized HgAs2Se structure.

Cell: 3.7612 3.7612 7.7645 Å, 90.00 90.00 90.00°
Last column: nearest neighbours and their distance in Å.
Atoms (fractional coordinates):
As (0.0000, 0.0000, 0.9017)  1 As 2.36
As (0.0000, 0.0000, 0.5983)  1 As 2.36
Hg (0.5000, 0.5000, 0.2500)  4 Hg 3.76, 8 As 3.79, 2 Se 3.88
Se (0.5000, 0.5000, 0.7500)  8 As 2.91

Output
symmetry: P4/mmm, No. 123



Which one sits at the bottom of the stability order? version A does.